Computed, not measured: crystalline BIrC at its relaxed geometry at the PBE level of DFT.

Values from the calculation:
M_tot   0.00 μB per atom
Energy relative to the elements   0.56 eV/atom
E_tot   -7.689 eV/atom
Fermi-level density of states   0.240 states/eV per atom
Offset from the most stable computed form   339 meV/atom

abc: 6.6022 2.7237 4.3282
angles: 90.00 123.93 90.00
With the nearest neighbours (Å) after each atom.
Sites, in units of the cell vectors:
B 0.0000 0.0000 0.0000  1 C 1.51
B 0.5000 0.5000 0.0000  1 C 1.51
Ir 0.1000 0.5000 0.7300  3 C 2.07-2.23, 3 B 2.13-2.21
Ir 0.6000 0.0000 0.7300  3 C 2.07-2.23, 3 B 2.13-2.21
C 0.4457 0.5000 0.2955  1 B 1.51
C 0.9457 0.0000 0.2955  1 B 1.51